(1)
## TcAgRh2 (meta-GGA SCAN)

Data for TcAgRh2 at its PBEsol-relaxed geometry.

**ΔE_f**: 0.3411 eV per atom
**Energy**: -530.4 eV per cell
**DOS(E_F)**: 11.097 states/eV per cell

a b c (Å): 6.146 6.146 6.146
angles (deg): 90.00 90.00 90.00
Space group Fm-3m (No. 225)
Unique sites:
Tc  0.000  0.000  0.000
Ag  0.000  0.000  0.500
Rh  0.250  0.250  0.250

---

(2)
## Ag2TeRh (meta-GGA SCAN)

Data for Ag2TeRh at its PBEsol-relaxed geometry.

**Energy**: -266.7 eV per cell
**Uncorrected formation energy**: 0.099 eV/atom
**DOS(E_F)**: 4.830 states/eV per cell

a b c (Å): 4.208 4.208 7.826
angles (deg): 90.00 90.00 90.00
Space group I-4m2 (No. 119)
Unique sites:
Ag  0.000  0.000  0.000
Ag  0.000  0.500  0.250
Te  0.000  0.500  0.750
Rh  0.000  0.000  0.500

---

(3)
## Ag2TeRh (meta-GGA SCAN)

Data for Ag2TeRh at its PBEsol-relaxed geometry.

**Energy**: -132.9 eV per cell
**Uncorrected formation energy**: 0.219 eV/atom
**DOS(E_F)**: 2.846 states/eV per cell

a b c (Å): 3.688 3.688 5.314
angles (deg): 90.00 90.00 90.00
Space group P4/mmm (No. 123)
Unique sites:
Ag  0.000  0.000  0.242
Te  0.500  0.500  0.500
Rh  0.500  0.500  0.000